## Pu3GeSe2 (PBE)

Data for crystalline Pu3GeSe2 at its relaxed geometry.

Values from the calculation:
theoretical density = 10.43 g/cm3
Fermi-level density of states = 58.82 states/eV/cell
ΔE_f (raw) = -1.121 eV per atom

Structure (CIF):
```
data_Pu3GeSe2
_chemical_formula_sum 'Pu6 Ge2 Se4'
_cell_length_a 7.2107
_cell_length_b 7.2107
_cell_length_c 7.2243
_cell_angle_alpha 99.62
_cell_angle_beta 99.62
_cell_angle_gamma 120.02
_symmetry_space_group_name_H-M 'P 1'
_symmetry_Int_Tables_number 1
_symmetry_space_group_name_Hall 'P 1'
loop_
_atom_site_label
_atom_site_fract_x
_atom_site_fract_y
_atom_site_fract_z
Pu1 0.0000 0.5000 0.0000
Pu2 0.1649 0.3297 0.4985
Pu3 0.3297 0.1649 0.9985
Pu4 0.5000 0.0000 0.5000
Pu5 0.6703 0.8351 0.0015
Pu6 0.8351 0.6703 0.5015
Ge1 0.0861 0.9139 0.2500
Ge2 0.9139 0.0861 0.7500
Se1 0.2516 0.7484 0.7500
Se2 0.4169 0.5831 0.2500
Se3 0.5831 0.4169 0.7500
Se4 0.7484 0.2516 0.2500
```

=====

## Pu2GeSe5 (PBE)

Data for crystalline Pu2GeSe5 at its relaxed geometry.

Values from the calculation:
theoretical density = 6.36 g/cm3
Fermi-level density of states = 36.50 states/eV/cell
ΔE_f (raw) = -0.900 eV per atom

Structure (CIF):
```
data_Pu2GeSe5
_chemical_formula_sum 'Pu4 Ge2 Se10'
_cell_length_a 7.1846
_cell_length_b 7.1846
_cell_length_c 13.5726
_cell_angle_alpha 90.00
_cell_angle_beta 90.00
_cell_angle_gamma 134.62
_symmetry_space_group_name_H-M 'P 1'
_symmetry_Int_Tables_number 1
_symmetry_space_group_name_Hall 'P 1'
loop_
_atom_site_label
_atom_site_fract_x
_atom_site_fract_y
_atom_site_fract_z
Pu1 0.1486 0.8514 0.5631
Pu2 0.1486 0.8514 0.9369
Pu3 0.8514 0.1486 0.0631
Pu4 0.8514 0.1486 0.4369
Ge1 0.1960 0.8040 0.2500
Ge2 0.8040 0.1960 0.7500
Se1 0.0523 0.9477 0.1188
Se2 0.0523 0.9477 0.3812
Se3 0.2566 0.7434 0.7500
Se4 0.3233 0.6767 0.0600
Se5 0.3233 0.6767 0.4400
Se6 0.6767 0.3233 0.5600
Se7 0.6767 0.3233 0.9400
Se8 0.7434 0.2566 0.2500
Se9 0.9477 0.0523 0.6188
Se10 0.9477 0.0523 0.8812
```

=====

## Pu3GeSe6 (PBE)

Data for crystalline Pu3GeSe6 at its relaxed geometry.

Values from the calculation:
theoretical density = 7.86 g/cm3
Fermi-level density of states = 53.53 states/eV/cell
ΔE_f (raw) = -1.144 eV per atom

Structure (CIF):
```
data_Pu3GeSe6
_chemical_formula_sum 'Pu6 Ge2 Se12'
_cell_length_a 8.8063
_cell_length_b 8.8063
_cell_length_c 7.1291
_cell_angle_alpha 90.00
_cell_angle_beta 90.00
_cell_angle_gamma 102.24
_symmetry_space_group_name_H-M 'P 1'
_symmetry_Int_Tables_number 1
_symmetry_space_group_name_Hall 'P 1'
loop_
_atom_site_label
_atom_site_fract_x
_atom_site_fract_y
_atom_site_fract_z
Pu1 0.1026 0.8974 0.5000
Pu2 0.2148 0.4183 0.4092
Pu3 0.4183 0.2148 0.9092
Pu4 0.5817 0.7852 0.4092
Pu5 0.7852 0.5817 0.9092
Pu6 0.8974 0.1026 0.0000
Ge1 0.3223 0.6777 0.8664
Ge2 0.6777 0.3223 0.3664
Se1 0.0662 0.5932 0.6878
Se2 0.1316 0.1930 0.7057
Se3 0.1930 0.1316 0.2057
Se4 0.2711 0.7289 0.2596
Se5 0.4068 0.9338 0.6878
Se6 0.4851 0.5149 0.6561
Se7 0.5149 0.4851 0.1561
Se8 0.5932 0.0662 0.1878
Se9 0.7289 0.2711 0.7596
Se10 0.8070 0.8684 0.7057
Se11 0.8684 0.8070 0.2057
Se12 0.9338 0.4068 0.1878
```

=====

## PuGe6Se8 (PBE)

Data for crystalline PuGe6Se8 at its relaxed geometry.

Values from the calculation:
theoretical density = 5.02 g/cm3
Fermi-level density of states = 5.09 states/eV/cell
ΔE_f (raw) = -0.386 eV per atom

Structure (CIF):
```
data_PuGe6Se8
_chemical_formula_sum 'Pu1 Ge6 Se8'
_cell_length_a 7.8185
_cell_length_b 7.8185
_cell_length_c 7.8185
_cell_angle_alpha 74.50
_cell_angle_beta 74.50
_cell_angle_gamma 74.50
_symmetry_space_group_name_H-M 'P 1'
_symmetry_Int_Tables_number 1
_symmetry_space_group_name_Hall 'P 1'
loop_
_atom_site_label
_atom_site_fract_x
_atom_site_fract_y
_atom_site_fract_z
Pu1 0.0000 0.0000 0.0000
Ge1 0.1283 0.3644 0.6034
Ge2 0.3644 0.6034 0.1283
Ge3 0.3966 0.8717 0.6356
Ge4 0.6034 0.1283 0.3644
Ge5 0.6356 0.3966 0.8717
Ge6 0.8717 0.6356 0.3966
Se1 0.1257 0.8138 0.3247
Se2 0.1862 0.6753 0.8743
Se3 0.2873 0.2873 0.2873
Se4 0.3247 0.1257 0.8138
Se5 0.6753 0.8743 0.1862
Se6 0.7127 0.7127 0.7127
Se7 0.8138 0.3247 0.1257
Se8 0.8743 0.1862 0.6753
```

=====

## Pu2GeSe (PBE)

Data for crystalline Pu2GeSe at its relaxed geometry.

Values from the calculation:
theoretical density = 10.39 g/cm3
Fermi-level density of states = 62.94 states/eV/cell
E above lowest polymorph = 0.0840 eV/atom
ΔE_f (raw) = -0.868 eV per atom

Structure (CIF):
```
data_Pu2GeSe
_chemical_formula_sum 'Pu6 Ge3 Se3'
_cell_length_a 4.1709
_cell_length_b 4.1709
_cell_length_c 20.3559
_cell_angle_alpha 90.00
_cell_angle_beta 90.00
_cell_angle_gamma 120.00
_symmetry_space_group_name_H-M 'P 1'
_symmetry_Int_Tables_number 1
_symmetry_space_group_name_Hall 'P 1'
loop_
_atom_site_label
_atom_site_fract_x
_atom_site_fract_y
_atom_site_fract_z
Pu1 0.0000 0.0000 0.2491
Pu2 0.0000 0.0000 0.7509
Pu3 0.3333 0.6667 0.4176
Pu4 0.3333 0.6667 0.9158
Pu5 0.6667 0.3333 0.0842
Pu6 0.6667 0.3333 0.5824
Ge1 0.0000 0.0000 0.5000
Ge2 0.3333 0.6667 0.1667
Ge3 0.6667 0.3333 0.8333
Se1 0.0000 0.0000 0.0000
Se2 0.3333 0.6667 0.6667
Se3 0.6667 0.3333 0.3333
```

=====

## Pu3GeSe2 (PBE)

Data for crystalline Pu3GeSe2 at its relaxed geometry.

Values from the calculation:
theoretical density = 10.43 g/cm3
Fermi-level density of states = 59.46 states/eV/cell
ΔE_f (raw) = -1.120 eV per atom

Structure (CIF):
```
data_Pu3GeSe2
_chemical_formula_sum 'Pu6 Ge2 Se4'
_cell_length_a 4.1773
_cell_length_b 5.8776
_cell_length_c 12.4802
_cell_angle_alpha 90.00
_cell_angle_beta 90.00
_cell_angle_gamma 90.00
_symmetry_space_group_name_H-M 'P 1'
_symmetry_Int_Tables_number 1
_symmetry_space_group_name_Hall 'P 1'
loop_
_atom_site_label
_atom_site_fract_x
_atom_site_fract_y
_atom_site_fract_z
Pu1 0.0000 0.0000 0.0000
Pu2 0.0000 0.0000 0.3343
Pu3 0.0000 0.0000 0.6657
Pu4 0.5000 0.5000 0.1657
Pu5 0.5000 0.5000 0.5000
Pu6 0.5000 0.5000 0.8343
Ge1 0.0000 0.5000 0.0000
Ge2 0.5000 0.0000 0.5000
Se1 0.0000 0.5000 0.3326
Se2 0.0000 0.5000 0.6674
Se3 0.5000 0.0000 0.1674
Se4 0.5000 0.0000 0.8326
```